Entry 1:
MoSN3 | PBE | optimized geometry

Cell: 3.966 3.966 3.966 Å, 90.00 90.00 90.00°
Fractional positions:
N: 0.500 0.000 0.000
N: 0.000 0.500 0.000
N: 0.000 0.000 0.500
S: 0.500 0.500 0.500
Mo: 0.000 0.000 0.000

Space group: Pm-3m, No. 221
Calculated density, g/cm³: 4.5
Uncorrected formation energy, eV per atom: 1.394
VASP energy, eV/atom: -6.5926
Crystal system: cubic

---

Entry 2:
MoS2N2 | PBE | optimized geometry

Cell: 3.841 3.841 5.237 Å, 90.00 90.00 90.00°
Each line ends with the local moment (μB).
Fractional positions:
S: 0.500 0.500 0.500  0.14
S: 0.000 0.000 0.500  0.01
N: 0.500 0.000 0.000  0.25
N: 0.000 0.500 0.000  0.25
Mo: 0.000 0.000 0.000  -0.21

Space group: P4/mmm, No. 123
Calculated density, g/cm³: 4.0
Uncorrected formation energy, eV per atom: 0.784
VASP energy, eV/atom: -6.3633
Energy above the lowest structure with this stoichiometry, eV/atom: 1.116
Crystal system: tetragonal

---

Entry 3:
MoS2N2 | PBE | optimized geometry

Cell: 3.831 3.831 3.899 Å, 90.00 90.00 90.00°
Each line ends with the local moment (μB).
Fractional positions:
N: 0.000 0.000 0.000  -0.01
S: 0.000 0.500 0.000  -0.04
S: 0.500 0.000 0.000  -0.04
Mo: 0.500 0.500 0.500  1.35
N: 0.000 0.000 0.500  -0.19

Space group: P4/mmm, No. 123
Calculated density, g/cm³: 5.5
Uncorrected formation energy, eV per atom: 1.596
VASP energy, eV/atom: -5.5511
Energy above the lowest structure with this stoichiometry, eV/atom: 1.928
Crystal system: tetragonal

---

Entry 4:
MoS2N2 | PBE | optimized geometry

Cell: 4.766 4.766 3.863 Å, 90.00 90.00 90.00°
Each line ends with the local moment (μB).
Fractional positions:
Mo: 0.000 0.000 0.000  0.35
N: 0.500 0.500 0.500  1.74
S: 0.000 0.500 0.000  -0.21
N: 0.000 0.000 0.500  -0.34
S: 0.500 0.000 0.000  -0.21

Space group: P4/mmm, No. 123
Calculated density, g/cm³: 3.6
Uncorrected formation energy, eV per atom: 1.296
VASP energy, eV/atom: -5.8514
Energy above the lowest structure with this stoichiometry, eV/atom: 1.628
Crystal system: tetragonal

---

Question: Among the records above, which one has the highest uncorrected formation energy?
Answer: number 3